# LiSmEuSn PBE optimized geometry
data_LiSmEuSn
_cell_length_a 7.668
_cell_length_b 7.668
_cell_length_c 7.668
_cell_angle_alpha 90.00
_cell_angle_beta 90.00
_cell_angle_gamma 90.00
_space_group_name_H-M_alt 'F -4 3 m'
_space_group_IT_number 216
_space_group_name_Hall 'F -4 2 3'
loop_
_atom_site_label
_atom_site_type_symbol
_atom_site_fract_x
_atom_site_fract_y
_atom_site_fract_z
Li1 Li 0.000 0.000 0.000
Sm1 Sm 0.250 0.250 0.750
Eu1 Eu 0.250 0.250 0.250
Sn1 Sn 0.000 0.000 0.500
# - ΔH_f (0 K) (eV/atom) = -0.421
# - N(E_F) (states/eV per cell) = 39.8

***

# LiSmEuTc PBE optimized geometry
data_LiSmEuTc
_cell_length_a 7.145
_cell_length_b 7.145
_cell_length_c 7.145
_cell_angle_alpha 90.00
_cell_angle_beta 90.00
_cell_angle_gamma 90.00
_space_group_name_H-M_alt 'F -4 3 m'
_space_group_IT_number 216
_space_group_name_Hall 'F -4 2 3'
loop_
_atom_site_label
_atom_site_type_symbol
_atom_site_fract_x
_atom_site_fract_y
_atom_site_fract_z
Li1 Li 0.000 0.000 0.000
Sm1 Sm 0.250 0.250 0.750
Eu1 Eu 0.250 0.250 0.250
Tc1 Tc 0.000 0.000 0.500
# - ΔH_f (0 K) (eV/atom) = 0.231
# - N(E_F) (states/eV per cell) = 29.1

***

# LiSmEuTl PBE optimized geometry
data_LiSmEuTl
_cell_length_a 7.761
_cell_length_b 7.761
_cell_length_c 7.761
_cell_angle_alpha 90.00
_cell_angle_beta 90.00
_cell_angle_gamma 90.00
_space_group_name_H-M_alt 'F -4 3 m'
_space_group_IT_number 216
_space_group_name_Hall 'F -4 2 3'
loop_
_atom_site_label
_atom_site_type_symbol
_atom_site_fract_x
_atom_site_fract_y
_atom_site_fract_z
Li1 Li 0.000 0.000 0.000
Sm1 Sm 0.250 0.250 0.750
Eu1 Eu 0.250 0.250 0.250
Tl1 Tl 0.000 0.000 0.500
# - ΔH_f (0 K) (eV/atom) = -0.186
# - N(E_F) (states/eV per cell) = 42.5

***

# LiSmEuTm PBE optimized geometry
data_LiSmEuTm
_cell_length_a 7.957
_cell_length_b 7.957
_cell_length_c 7.957
_cell_angle_alpha 90.00
_cell_angle_beta 90.00
_cell_angle_gamma 90.00
_space_group_name_H-M_alt 'F -4 3 m'
_space_group_IT_number 216
_space_group_name_Hall 'F -4 2 3'
loop_
_atom_site_label
_atom_site_type_symbol
_atom_site_fract_x
_atom_site_fract_y
_atom_site_fract_z
Li1 Li 0.000 0.000 0.000
Sm1 Sm 0.250 0.250 0.750
Eu1 Eu 0.250 0.250 0.250
Tm1 Tm 0.000 0.000 0.500
# - ΔH_f (0 K) (eV/atom) = 0.196
# - N(E_F) (states/eV per cell) = 16.1